Here is an optimized crystal structure of CoRe2Si from Alexandria. Energies are from PBE-GGA.

abc: 2.9081 4.2382 8.3844
angles: 90.00 90.00 90.00
Space group Imm2 (No. 44)
Asymmetric unit:
Co: 0.0000 0.0000 0.0000 [2 per cell]
Re: 0.0000 0.0000 0.5457 [2 per cell]
Re: 0.0000 0.5000 0.7714 [2 per cell]
Si: 0.0000 0.5000 0.2902 [2 per cell]

## Properties
D(E_F): 0.9420 states/eV/atom
magnetization: 0.63 μB/cell
energy relative to the elements, uncorrected: -0.7 eV/f.u.